Computed, not measured: an optimized crystal structure of ZrMn2Co at the PBE-GGA level of DFT.

Formation enthalpy at 0 K in eV/atom: 0.13
Total energy in eV per atom: -8.37
Space group: P2/m
Size of the total moment in μB per atom: 1.73

Lattice parameters (Å, degrees): 4.0169 2.9237 5.3233 73.94 90.00 90.00
Last column: nearest neighbours and their distance in Å.
Element x y z (fractional)
Co  0.5000  0.7500  0.7500  4 Mn 2.46, 2 Zr 2.66
Mn  0.0000  0.9323  0.9699  2 Co 2.46, 1 Mn 2.55
Mn  0.0000  0.5677  0.5301  2 Co 2.46, 1 Mn 2.55
Zr  0.5000  0.2500  0.2500  2 Co 2.66, 8 Mn 2.81-2.93, 2 Zr 2.92



Computed, not measured: an optimized crystal structure of ZrMnCo2 at the PBE-GGA level of DFT.

Formation enthalpy at 0 K in eV/atom: 0.41
Total energy in eV per atom: -7.57
Space group: I-42d
Size of the total moment in μB per atom: 1.19

Lattice parameters (Å, degrees): 3.7836 3.7836 9.0509 77.94 77.94 90.00
Last column: nearest neighbours and their distance in Å.
Element x y z (fractional)
Mn  0.5000  0.5000  0.0000  4 Co 2.45, 4 Zr 2.68
Mn  0.2500  0.7500  0.5000  4 Co 2.45, 4 Zr 2.68
Co  0.5485  0.1250  0.2500  2 Co 2.30, 2 Mn 2.45
Co  0.2015  0.6250  0.2500  2 Co 2.30, 2 Mn 2.45
Co  0.3750  0.4515  0.7500  2 Co 2.30, 2 Mn 2.45
Co  0.8750  0.7985  0.7500  2 Co 2.30, 2 Mn 2.45
Zr  0.0000  0.0000  0.0000  4 Co 2.66, 4 Mn 2.68
Zr  0.7500  0.2500  0.5000  4 Co 2.66, 4 Mn 2.68



Computed, not measured: an optimized crystal structure of Zr2Mn2Co at the PBE-GGA level of DFT.

Formation enthalpy at 0 K in eV/atom: 0.01
Total energy in eV per atom: -8.50
Space group: P4/mbm
Size of the total moment in μB per atom: 0.00

Lattice parameters (Å, degrees): 6.1869 6.1869 4.1038 90.00 90.00 90.00
Last column: nearest neighbours and their distance in Å.
Element x y z (fractional)
Mn  0.3842  0.8842  0.0000  1 Mn 2.03
Mn  0.8842  0.6158  0.0000  1 Mn 2.03
Mn  0.6158  0.1158  0.0000  1 Mn 2.03
Mn  0.1158  0.3842  0.0000  1 Mn 2.03
Co  0.0000  0.0000  0.0000  4 Mn 2.48
Co  0.5000  0.5000  0.0000  4 Mn 2.48
Zr  0.1840  0.6840  0.5000  6 Mn 2.70-2.80
Zr  0.6840  0.8160  0.5000  6 Mn 2.70-2.80
Zr  0.8160  0.3160  0.5000  6 Mn 2.70-2.80
Zr  0.3160  0.1840  0.5000  6 Mn 2.70-2.80



Computed, not measured: an optimized crystal structure of Zr4MnCo at the PBE-GGA level of DFT.

Formation enthalpy at 0 K in eV/atom: -0.14
Total energy in eV per atom: -8.55
Relative energy among the computed polymorphs in meV/atom: 0.0
Space group: I422
Size of the total moment in μB per atom: 0.00

Lattice parameters (Å, degrees): 5.2886 5.2886 5.2886 106.89 106.89 114.76
Last column: nearest neighbours and their distance in Å.
Element x y z (fractional)
Zr  0.5731  0.0731  0.1463  2 Mn 2.72, 2 Co 2.72
Zr  0.9269  0.4269  0.8537  2 Co 2.72, 2 Mn 2.72
Zr  0.0731  0.9269  0.5000  2 Mn 2.72, 2 Co 2.72
Zr  0.4269  0.5731  0.5000  2 Co 2.72, 2 Mn 2.72
Mn  0.5000  0.5000  0.0000  8 Zr 2.72, 2 Co 2.85
Co  0.0000  0.0000  0.0000  8 Zr 2.72, 2 Mn 2.85



Computed, not measured: an optimized crystal structure of ZrMn2Co at the PBE-GGA level of DFT.

Formation enthalpy at 0 K in eV/atom: 0.07
Total energy in eV per atom: -8.43
Space group: P4/mmm
Size of the total moment in μB per atom: 1.71

Lattice parameters (Å, degrees): 3.0194 3.0194 6.4933 90.00 90.00 90.00
Last column: nearest neighbours and their distance in Å.
Element x y z (fractional)
Co  0.5000  0.5000  0.7500  8 Mn 2.52
Mn  0.0000  0.0000  0.9568  4 Co 2.52, 1 Mn 2.69
Mn  0.0000  0.0000  0.5432  4 Co 2.52, 1 Mn 2.69
Zr  0.5000  0.5000  0.2500  8 Mn 2.86, 4 Zr 3.02



Computed, not measured: an optimized crystal structure of ZrMn2Co at the PBE-GGA level of DFT.

Formation enthalpy at 0 K in eV/atom: 0.09
Total energy in eV per atom: -8.40
Space group: I4/mmm
Size of the total moment in μB per atom: 1.81

Lattice parameters (Å, degrees): 4.9252 4.9252 4.9252 134.53 134.53 66.26
Last column: nearest neighbours and their distance in Å.
Element x y z (fractional)
Co  0.7500  0.2500  0.5000  4 Zr 2.69, 8 Mn 2.81
Mn  0.0000  0.0000  0.0000  4 Mn 2.69, 4 Zr 2.81, 4 Co 2.81
Mn  0.5000  0.5000  0.0000  4 Mn 2.69, 4 Co 2.81, 4 Zr 2.81
Zr  0.2500  0.7500  0.5000  4 Co 2.69, 8 Mn 2.81